A relaxed structure of Ba2FeReO6, computed with PBE with a Hubbard U.

Properties
E above lowest polymorph ... 35 meV/atom
Total magnetic moment ... 2.978 μB per formula unit
Total energy ... -7.29 eV/atom

abc: 5.9009 5.9009 28.5280
angles: 90.00 90.00 120.00
With the nearest neighbours (Å) after each atom.
Space group R-3m (No. 166, hexagonal axes)
Unique sites:
Ba1 0.0000 0.0000 0.1284 (multiplicity 6)  12 O 2.88-3.01
Ba2 0.0000 0.0000 0.2841 (multiplicity 6)  12 O 2.86-3.10
Fe1 0.0000 0.0000 0.4068 (multiplicity 6)  6 O 2.06-2.20
Re1 0.0000 0.0000 0.0000 (multiplicity 3)  6 O 1.95
Re2 0.0000 0.0000 0.5000 (multiplicity 3)  6 O 1.96
O1 0.0208 0.5104 0.7058 (multiplicity 18)  1 Re 1.95, 1 Fe 2.06
O2 0.0219 0.5110 0.1267 (multiplicity 18)  1 Re 1.96